[1]
PBEsol Zn2CuTe, relaxed; total magnetic moment = 0.00 μB per atom; formation energy (no corrections) = 0.8 eV/f.u.; density of states at the Fermi level = 0.41 states/eV/atom
1.0
3.618 0.000 0.000
0.000 3.618 0.000
0.000 0.000 5.349
Zn Cu Te
2 1 1
Cartesian
0.000 0.000 0.000 Zn
1.809 1.809 1.221 Zn
0.000 0.000 2.436 Cu
1.809 1.809 3.854 Te



[2]
PBEsol Zn2CdRe, relaxed; total magnetic moment = 0.00 μB per atom; energy of formation from the pure elements = 0.2708 eV/atom; density of states at the Fermi level = 0.51 states/eV/atom
1.0
1.431 -2.381 0.000
1.431 2.381 0.000
0.000 0.000 9.108
Zn Cd Re
2 1 1
Cartesian
0.000 0.000 2.164 Zn
0.000 0.000 6.943 Zn
1.431 0.000 4.554 Cd
1.431 0.000 0.000 Re



[3]
PBEsol TaTcCl, relaxed; total magnetic moment = 0.00 μB per atom; formation energy (no corrections) = 0.3 eV/f.u.; density of states at the Fermi level = 0.63 states/eV/atom; E above lowest polymorph = 0 meV/atom
1.0
0.000 2.528 6.438
1.596 0.000 6.438
1.596 2.528 0.000
Ta Tc Cl
1 1 1
Cartesian
0.000 0.000 0.000 Ta
1.596 2.528 8.282 Tc
1.596 2.528 4.347 Cl



[4]
PBEsol SrPb2Se, relaxed; total magnetic moment = 0.00 μB per atom; formation energy (no corrections) = -2.2 eV/f.u.; density of states at the Fermi level = 0.52 states/eV/atom
1.0
-2.494 2.500 4.488
2.494 -2.500 4.488
2.494 2.500 -4.488
Sr Pb Se
1 2 1
Cartesian
0.000 0.000 0.000 Sr
0.000 0.000 4.491 Pb
0.000 2.500 2.244 Pb
2.494 0.000 2.238 Se



[5]
PBEsol GeBiPd3, relaxed; total magnetic moment = 0.00 μB per atom; energy of formation from the pure elements = 0.7874 eV/atom; density of states at the Fermi level = 0.32 states/eV/atom
1.0
4.953 0.000 0.000
0.000 4.953 0.000
0.000 0.000 4.953
Ge Bi Pd
1 1 3
Cartesian
0.000 0.000 0.000 Ge
2.477 2.477 2.477 Bi
0.000 2.477 2.477 Pd
2.477 0.000 2.477 Pd
2.477 2.477 0.000 Pd



[6]
PBEsol MoIr2Cl, relaxed; total magnetic moment = 0.00 μB per atom; formation energy (no corrections) = 3.7 eV/f.u.; density of states at the Fermi level = 1.10 states/eV/atom; E above lowest polymorph = 666 meV/atom
1.0
4.700 0.000 0.000
0.000 4.700 0.000
0.000 0.000 2.731
Mo Ir Cl
1 2 1
Cartesian
0.000 0.000 0.000 Mo
0.000 2.350 1.365 Ir
2.350 0.000 1.365 Ir
2.350 2.350 0.000 Cl



[7]
PBEsol NaSr2Tl, relaxed; total magnetic moment = 0.00 μB per atom; energy of formation from the pure elements = -0.2404 eV/atom; density of states at the Fermi level = 0.91 states/eV/atom
1.0
0.000 4.116 4.116
4.116 0.000 4.116
4.116 4.116 0.000
Na Sr Tl
1 2 1
Cartesian
0.000 0.000 0.000 Na
2.058 2.058 2.058 Sr
6.174 6.174 6.174 Sr
4.116 4.116 4.116 Tl



[8]
PBEsol MgSc2Ni, relaxed; total magnetic moment = 0.00 μB per atom; energy of formation from the pure elements = -0.1595 eV/atom; density of states at the Fermi level = 0.91 states/eV/atom
1.0
5.512 -1.591 0.000
5.512 1.591 0.000
-2.044 0.000 4.293
Mg Sc Ni
1 2 1
Cartesian
0.000 0.000 0.000 Mg
5.340 0.000 2.552 Sc
8.148 0.000 1.259 Sc
1.600 0.000 3.397 Ni



[9]
PBEsol Pt4PbAu, relaxed; total magnetic moment = 0.00 μB per atom; energy of formation from the pure elements = 0.0581 eV/atom; density of states at the Fermi level = 0.65 states/eV/atom
1.0
0.000 3.760 3.760
3.760 0.000 3.760
3.760 3.760 0.000
Pt Pb Au
4 1 1
Cartesian
0.943 0.943 0.943 Pt
2.817 2.817 0.943 Pt
2.817 0.943 2.817 Pt
0.943 2.817 2.817 Pt
5.640 5.640 5.640 Pb
3.760 3.760 3.760 Au



[10]
PBEsol TcAsF2, relaxed; total magnetic moment = 0.61 μB per atom; formation energy (no corrections) = -0.5 eV/f.u.; density of states at the Fermi level = 0.34 states/eV/atom
1.0
0.000 2.939 2.939
2.939 0.000 2.939
2.939 2.939 0.000
Tc As F
1 1 2
Cartesian
0.000 0.000 0.000 Tc
2.939 2.939 2.939 As
1.470 1.470 1.470 F
4.409 4.409 4.409 F



[11]
PBEsol ZrScTl2, relaxed; total magnetic moment = 0.05 μB per atom; energy of formation from the pure elements = -0.2512 eV/atom; density of states at the Fermi level = 0.87 states/eV/atom
1.0
3.217 0.000 0.000
0.000 4.233 0.000
0.000 0.000 6.410
Zr Sc Tl
1 1 2
Cartesian
0.000 0.000 0.000 Zr
0.000 0.000 3.205 Sc
1.609 2.116 1.619 Tl
1.609 2.116 4.791 Tl



[12]
PBEsol NiHg2Sb, relaxed; total magnetic moment = 0.00 μB per atom; formation energy (no corrections) = 0.1 eV/f.u.; density of states at the Fermi level = 0.47 states/eV/atom
1.0
1.700 0.982 8.238
-1.700 0.982 8.238
0.000 -1.963 8.238
Ni Hg Sb
1 2 1
Cartesian
0.000 0.000 0.000 Ni
0.000 0.000 6.444 Hg
0.000 0.000 12.370 Hg
0.000 0.000 18.016 Sb